# RbAgSe4

A geometry-optimized RbAgSe4 structure (PBEsol, the Alexandria database).

```
data_RbAgSe4
_cell_length_a 5.699
_cell_length_b 8.740
_cell_length_c 13.221
_cell_angle_alpha 90.00
_cell_angle_beta 90.00
_cell_angle_gamma 90.00
_symmetry_space_group_name_H-M 'P 21 21 21'
_symmetry_Int_Tables_number 19
_symmetry_space_group_name_Hall 'P 2ac 2ab'
loop_
_atom_site_label
_atom_site_type_symbol
_atom_site_fract_x
_atom_site_fract_y
_atom_site_fract_z
_atom_site_occupancy
Rb1 Rb 0.168 0.050 0.336 1
Ag1 Ag 0.038 0.127 0.067 1
Se1 Se 0.104 0.586 0.930 1
Se2 Se 0.130 0.685 0.612 1
Se3 Se 0.142 0.367 0.819 1
Se4 Se 0.199 0.853 0.099 1
```

Calculated values
crystal system = orthorhombic
uncorrected formation energy = -364 meV/atom